# 1
KGaCl2 (PBE, relaxed); ΔE_f (raw) = -1.24 eV per atom; excess energy over the best structure of this formula in the dataset = 0.17 eV per formula unit
1.0
5.2981 0.0000 0.0000
0.0000 5.2981 0.0000
0.0000 0.0000 3.7353
K Ga Cl
1 1 2
direct
0.0000 0.0000 0.0000
0.5000 0.5000 0.0000
0.0000 0.5000 0.5000
0.5000 0.0000 0.5000

---

# 2
K6GaCl8 (PBE, relaxed); ΔE_f (raw) = -1.67 eV per atom
1.0
8.8263 0.0000 0.0000
-4.4131 7.6438 0.0000
0.0000 0.0000 7.3884
K Ga Cl
6 1 8
direct
0.0000 0.3851 0.2244
0.0000 0.6149 0.7756
0.3851 0.0000 0.2244
0.3851 0.3851 0.7756
0.6149 0.0000 0.7756
0.6149 0.6149 0.2244
0.0000 0.0000 0.5000
0.0000 0.2603 0.6871
0.0000 0.7397 0.3129
0.2603 0.0000 0.6871
0.2603 0.2603 0.3129
0.3333 0.6667 0.0000
0.6667 0.3333 0.0000
0.7397 0.0000 0.3129
0.7397 0.7397 0.6871

---

Which formula does entry 1 have?
KGaCl2